{"formula": "AlV2Mo2", "functional": "GGA-PBE", "state": "relaxed", "lattice": [[4.190, 0.000, -1.133], [-0.309, 5.181, -1.144], [-0.362, -0.288, 6.976]], "species": ["Al", "Al", "V", "V", "V", "V", "Mo", "Mo", "Mo", "Mo"], "fractional_positions": [[0.000, 0.750, 0.000], [0.000, 0.250, 0.000], [0.399, 0.365, 0.798], [0.399, 0.865, 0.798], [0.601, 0.635, 0.202], [0.601, 0.135, 0.202], [0.199, 0.048, 0.397], [0.801, 0.452, 0.603], [0.801, 0.952, 0.603], [0.199, 0.548, 0.397]], "sg": "C2/m, No. 12", "ef_ev_per_atom": -0.127, "n_ef_per_ev_fu": 3.70, "relative_energy_mev_per_atom": 19}

{"formula": "NbIrSeN2", "functional": "GGA-PBE", "state": "relaxed", "lattice": [[-1.801, 2.469, -2.459], [-1.881, -3.019, -1.654], [-4.187, 0.599, 3.668]], "species": ["Nb", "Ir", "Se", "N", "N"], "fractional_positions": [[0.000, 0.000, 0.000], [0.500, 0.500, 0.500], [0.000, 0.000, 0.500], [0.000, 0.500, 0.000], [0.500, 0.000, 0.000]], "sg": "P4/mmm, No. 123", "formation_energy_uncorrected_mev_per_atom": 952, "n_ef_per_ev_fu": 4.79, "relative_energy_mev_per_atom": 49}

{"formula": "PmNd2ErTe5", "functional": "GGA-PBE", "state": "relaxed", "lattice": [[-1.184, -5.094, -1.696], [2.402, 1.051, -4.833], [10.249, -3.803, 4.268]], "species": ["Pm", "Nd", "Nd", "Er", "Te", "Te", "Te", "Te", "Te"], "fractional_positions": [[0.000, 0.000, 0.000], [0.500, 0.500, 0.340], [0.500, 0.500, 0.660], [0.000, 0.000, 0.500], [0.000, 0.500, 0.500], [0.500, 0.000, 0.500], [0.000, 0.000, 0.750], [0.000, 0.000, 0.250], [0.500, 0.500, 0.000]], "sg": "P4/mmm, No. 123", "formation_energy_uncorrected_mev_per_atom": -840, "n_ef_per_ev_fu": 5.29}

{"formula": "Pm3YSb2", "functional": "GGA-PBE", "state": "relaxed", "lattice": [[7.157, 0.000, 0.000], [0.000, 7.887, 0.000], [-3.578, -3.943, 7.283]], "species": ["Pm", "Pm", "Pm", "Pm", "Pm", "Pm", "Y", "Y", "Sb", "Sb", "Sb", "Sb"], "fractional_positions": [[0.500, 0.250, 0.000], [0.500, 0.750, 0.000], [0.790, 0.040, 0.580], [0.210, 0.460, 0.420], [0.210, 0.960, 0.420], [0.790, 0.540, 0.580], [0.000, 0.500, 0.000], [0.000, 0.000, 0.000], [0.536, 0.355, 0.711], [0.825, 0.145, 0.289], [0.175, 0.855, 0.711], [0.464, 0.645, 0.289]], "sg": "Ibam, No. 72", "formation_energy_uncorrected_mev_per_atom": -619, "n_ef_per_ev_fu": 7.27, "relative_energy_mev_per_atom": 215}

Copy entry 4 word for word.
{"formula": "Pm3YSb2", "functional": "GGA-PBE", "state": "relaxed", "lattice": [[7.157, 0.000, 0.000], [0.000, 7.887, 0.000], [-3.578, -3.943, 7.283]], "species": ["Pm", "Pm", "Pm", "Pm", "Pm", "Pm", "Y", "Y", "Sb", "Sb", "Sb", "Sb"], "fractional_positions": [[0.500, 0.250, 0.000], [0.500, 0.750, 0.000], [0.790, 0.040, 0.580], [0.210, 0.460, 0.420], [0.210, 0.960, 0.420], [0.790, 0.540, 0.580], [0.000, 0.500, 0.000], [0.000, 0.000, 0.000], [0.536, 0.355, 0.711], [0.825, 0.145, 0.289], [0.175, 0.855, 0.711], [0.464, 0.645, 0.289]], "sg": "Ibam, No. 72", "formation_energy_uncorrected_mev_per_atom": -619, "n_ef_per_ev_fu": 7.27, "relative_energy_mev_per_atom": 215}